# 1
This record from Alexandria via LeMat-Bulk describes crystalline AcLa2Au6 at its relaxed geometry. The functional is PBE.

Lattice parameters (Å, degrees): 4.009 8.678 8.678 53.54 76.64 76.64
Sites, in units of the cell vectors:
Au (0.823, 0.866, 0.488)
Au (0.000, 0.818, 0.182)
Au (0.177, 0.512, 0.134)
Au (0.000, 0.182, 0.818)
Au (0.823, 0.488, 0.866)
Au (0.177, 0.134, 0.512)
Ac (0.500, 0.500, 0.500)
La (0.358, 0.142, 0.142)
La (0.642, 0.858, 0.858)

## Properties
space group	Immm (71)
E above lowest polymorph	0.52	eV/f.u.
E_tot	-4.4913	eV/atom
formation enthalpy at 0 K	-0.7549	eV per atom

---

# 2
This record from Alexandria via LeMat-Bulk describes crystalline Ac3La4Au4 at its relaxed geometry. The functional is PBE.

Lattice parameters (Å, degrees): 4.120 10.329 10.572 120.52 107.59 89.63
Sites, in units of the cell vectors:
Au (0.267, 0.718, 0.501)
Au (0.684, 0.218, 0.996)
Au (0.733, 0.282, 0.499)
Au (0.316, 0.782, 0.004)
La (0.396, 0.557, 0.690)
La (0.660, 0.835, 0.360)
La (0.340, 0.165, 0.640)
La (0.604, 0.443, 0.310)
Ac (0.000, 0.500, 0.000)
Ac (0.020, 0.944, 0.795)
Ac (0.980, 0.056, 0.205)

## Properties
space group	P-1 (2)
E above lowest polymorph	0.00	eV/f.u.
E_tot	-4.6543	eV/atom
formation enthalpy at 0 K	-0.5503	eV per atom